# 1
! FeSb2MoS (GGA-PBE, relaxed); values from VASP
! space-group type = P4/mmm, No. 123
! total magnetic moment = 3.62 μB per cell
! V = 119 Å³/f.u.
! formation energy from raw total energies = 1085 meV/atom
&SYSTEM
  ibrav = 0, nat = 5, ntyp = 4
/
ATOMIC_SPECIES
Sb 121.76 Sb.upf
Fe 55.84 Fe.upf
Mo 95.94 Mo.upf
S 32.06 S.upf
CELL_PARAMETERS angstrom
5.217 0.000 0.000
0.000 4.360 0.000
0.000 0.000 5.217
ATOMIC_POSITIONS crystal
Sb 0.000 0.000 0.500
Fe 0.500 0.500 0.500
Mo 0.000 0.500 0.000
S 0.000 0.000 0.000
Sb 0.500 0.000 0.000

=====

# 2
! FeSn2MoS (GGA-PBE, relaxed); values from VASP
! space-group type = P4/mmm, No. 123
! total magnetic moment = 3.41 μB per cell
! V = 123 Å³/f.u.
! formation energy from raw total energies = 741 meV/atom
&SYSTEM
  ibrav = 0, nat = 5, ntyp = 4
/
ATOMIC_SPECIES
Fe 55.84 Fe.upf
Sn 118.71 Sn.upf
Mo 95.94 Mo.upf
S 32.06 S.upf
CELL_PARAMETERS angstrom
5.273 0.000 0.000
0.000 4.426 0.000
0.000 0.000 5.273
ATOMIC_POSITIONS crystal
Fe 0.500 0.500 0.500
Sn 0.000 0.000 0.500
Mo 0.000 0.000 0.000
S 0.000 0.500 0.000
Sn 0.500 0.000 0.000

=====

# 3
! FeSbMo2 (GGA-PBE, relaxed); values from VASP
! space-group type = Pmmm, No. 47
! total magnetic moment = 1.49 μB per cell
! V = 63 Å³/f.u.
! formation energy from raw total energies = 277 meV/atom
&SYSTEM
  ibrav = 0, nat = 4, ntyp = 3
/
ATOMIC_SPECIES
Fe 55.84 Fe.upf
Mo 95.94 Mo.upf
Sb 121.76 Sb.upf
CELL_PARAMETERS angstrom
-2.448 1.857 1.383
-1.921 0.250 -3.734
-2.291 -3.712 0.930
ATOMIC_POSITIONS crystal
Fe 0.000 0.500 0.500
Mo 0.000 0.000 0.000
Sb 0.500 0.000 0.500
Mo 0.500 0.500 0.000

=====

# 4
! FeSbMo2 (GGA-PBE, relaxed); values from VASP
! space-group type = P4/mmm, No. 123
! total magnetic moment = 2.27 μB per cell
! V = 64 Å³/f.u.
! formation energy from raw total energies = 331 meV/atom
&SYSTEM
  ibrav = 0, nat = 4, ntyp = 3
/
ATOMIC_SPECIES
Mo 95.94 Mo.upf
Sb 121.76 Sb.upf
Fe 55.84 Fe.upf
CELL_PARAMETERS angstrom
4.507 0.000 0.000
0.000 4.507 0.000
0.000 0.000 3.172
ATOMIC_POSITIONS crystal
Mo 0.000 0.000 0.000
Sb 0.500 0.000 0.500
Fe 0.000 0.500 0.500
Mo 0.500 0.500 0.000

=====

# 5
! FeSb2Mo (GGA-PBE, relaxed); values from VASP
! space-group type = Fm-3m, No. 225
! E above lowest polymorph = 212 meV per atom
! total magnetic moment = 0.00 μB per cell
! V = 69 Å³/f.u.
! formation energy from raw total energies = 355 meV/atom
&SYSTEM
  ibrav = 0, nat = 4, ntyp = 3
/
ATOMIC_SPECIES
Sb 121.76 Sb.upf
Mo 95.94 Mo.upf
Fe 55.84 Fe.upf
CELL_PARAMETERS angstrom
0.000 3.249 3.249
3.249 0.000 3.249
3.249 3.249 0.000
ATOMIC_POSITIONS crystal
Sb 0.750 0.750 0.750
Mo 0.500 0.500 0.500
Fe 0.000 0.000 0.000
Sb 0.250 0.250 0.250

=====

# 6
! FeSb2Mo (GGA-PBE, relaxed); values from VASP
! space-group type = C2/m, No. 12
! E above lowest polymorph = 296 meV per atom
! total magnetic moment = 2.20 μB per cell
! V = 74 Å³/f.u.
! formation energy from raw total energies = 439 meV/atom
&SYSTEM
  ibrav = 0, nat = 4, ntyp = 3
/
ATOMIC_SPECIES
Sb 121.76 Sb.upf
Mo 95.94 Mo.upf
Fe 55.84 Fe.upf
CELL_PARAMETERS angstrom
-0.575 3.672 2.630
-3.457 2.217 1.965
0.012 -2.268 4.916
ATOMIC_POSITIONS crystal
Sb 0.503 0.503 0.501
Sb 0.997 0.997 0.999
Mo 0.250 0.250 0.250
Fe 0.750 0.750 0.750

=====

# 7
! FeSbMo2 (GGA-PBE, relaxed); values from VASP
! space-group type = R-3m, No. 166
! total magnetic moment = 2.05 μB per cell
! V = 67 Å³/f.u.
! formation energy from raw total energies = 527 meV/atom
&SYSTEM
  ibrav = 0, nat = 4, ntyp = 3
/
ATOMIC_SPECIES
Mo 95.94 Mo.upf
Sb 121.76 Sb.upf
Fe 55.84 Fe.upf
CELL_PARAMETERS angstrom
-3.501 4.691 -6.358
-6.001 3.647 -5.037
-4.646 6.115 -3.962
ATOMIC_POSITIONS crystal
Mo 0.007 0.007 0.007
Sb 0.250 0.250 0.250
Fe 0.750 0.750 0.750
Mo 0.493 0.493 0.493

=====

# 8
! FeSb2Mo (GGA-PBE, relaxed); values from VASP
! space-group type = Amm2, No. 38
! E above lowest polymorph = 21 meV per atom
! total magnetic moment = 2.15 μB per cell
! V = 76 Å³/f.u.
! formation energy from raw total energies = 163 meV/atom
&SYSTEM
  ibrav = 0, nat = 4, ntyp = 3
/
ATOMIC_SPECIES
Fe 55.84 Fe.upf
Sb 121.76 Sb.upf
Mo 95.94 Mo.upf
CELL_PARAMETERS angstrom
-4.829 -1.584 1.397
-2.380 -3.231 3.417
-0.216 3.170 2.847
ATOMIC_POSITIONS crystal
Fe 0.448 0.448 0.625
Sb 0.726 0.726 0.625
Sb 0.020 0.020 0.125
Mo 0.306 0.306 0.125

=====

# 9
! Fe2SbMo (GGA-PBE, relaxed); values from VASP
! space-group type = Imm2, No. 44
! total magnetic moment = 4.53 μB per cell
! V = 59 Å³/f.u.
! formation energy from raw total energies = 236 meV/atom
&SYSTEM
  ibrav = 0, nat = 4, ntyp = 3
/
ATOMIC_SPECIES
Sb 121.76 Sb.upf
Mo 95.94 Mo.upf
Fe 55.84 Fe.upf
CELL_PARAMETERS angstrom
4.968 -0.017 -0.016
2.063 4.520 0.016
-3.211 -2.728 2.633
ATOMIC_POSITIONS crystal
Sb 0.240 0.740 0.500
Mo 0.504 0.504 0.000
Fe 0.989 0.989 0.000
Fe 0.767 0.267 0.500

=====

# 10
! Fe2SbMo (GGA-PBE, relaxed); values from VASP
! space-group type = Cmmm, No. 65
! total magnetic moment = 4.69 μB per cell
! V = 63 Å³/f.u.
! formation energy from raw total energies = 468 meV/atom
&SYSTEM
  ibrav = 0, nat = 4, ntyp = 3
/
ATOMIC_SPECIES
Fe 55.84 Fe.upf
Sb 121.76 Sb.upf
Mo 95.94 Mo.upf
CELL_PARAMETERS angstrom
-2.080 1.799 0.746
-0.524 -2.418 1.413
4.506 2.644 6.194
ATOMIC_POSITIONS crystal
Fe 0.000 0.000 0.487
Fe 0.000 0.000 0.013
Sb 0.500 0.500 0.750
Mo 0.500 0.500 0.250

=====

# 11
! FeSb2Mo (GGA-PBE, relaxed); values from VASP
! space-group type = P4mm, No. 99
! E above lowest polymorph = 0 meV per atom
! total magnetic moment = 1.88 μB per cell
! V = 81 Å³/f.u.
! formation energy from raw total energies = 143 meV/atom
&SYSTEM
  ibrav = 0, nat = 4, ntyp = 3
/
ATOMIC_SPECIES
Sb 121.76 Sb.upf
Mo 95.94 Mo.upf
Fe 55.84 Fe.upf
CELL_PARAMETERS angstrom
-2.872 -1.027 0.727
1.257 -2.276 1.753
-0.123 5.007 6.588
ATOMIC_POSITIONS crystal
Sb 0.000 0.000 0.931
Sb 0.500 0.500 0.336
Mo 0.500 0.500 0.699
Fe 0.000 0.000 0.534

=====

# 12
! Fe2SbMo (GGA-PBE, relaxed); values from VASP
! space-group type = P4/mmm, No. 123
! total magnetic moment = 3.08 μB per cell
! V = 59 Å³/f.u.
! formation energy from raw total energies = 269 meV/atom
&SYSTEM
  ibrav = 0, nat = 4, ntyp = 3
/
ATOMIC_SPECIES
Fe 55.84 Fe.upf
Sb 121.76 Sb.upf
Mo 95.94 Mo.upf
CELL_PARAMETERS angstrom
-1.805 -2.075 1.613
1.445 -2.418 -1.493
3.966 -0.207 4.174
ATOMIC_POSITIONS crystal
Fe 0.000 0.000 0.487
Fe 0.000 0.000 0.013
Sb 0.500 0.500 0.750
Mo 0.500 0.500 0.250

=====

| no. | Fermi-level density of states (states/eV/cell) |
| --- | --- |
| 1 | 5.5 |
| 2 | 3.4 |
| 3 | 3.5 |
| 4 | 4.2 |
| 5 | 1.7 |
| 6 | 4.8 |
| 7 | 5.5 |
| 8 | 3.9 |
| 9 | 4.9 |
| 10 | 3.8 |
| 11 | 2.2 |
| 12 | 4.8 |